An optimized crystal structure of IrW2F. Source: the Alexandria database, functional PBE with a Hubbard U.

density of states at the Fermi level: 1.97 states/eV/f.u.
ΔE to the lowest computed polymorph: 72.2 meV/atom

a = 6.4628 Å, b = 6.4628 Å, c = 5.4770 Å
α = 53.84°, β = 53.84°, γ = 90.00°
Last column: nearest neighbours and their distance in Å.
Positions (direct):
Ir 0.0000 0.0000 0.0000  4 W 2.61
Ir 0.7500 0.2500 0.5000  4 W 2.61
W 0.5806 0.1250 0.2500  2 F 2.22
W 0.1694 0.6250 0.2500  2 F 2.22
W 0.3750 0.4194 0.7500  2 F 2.22
W 0.8750 0.8306 0.7500  2 F 2.22
F 0.5000 0.5000 0.0000  4 W 2.22
F 0.2500 0.7500 0.5000  4 W 2.22